1.
Compound: Na2PrSiO5
Source: the Alexandria database
Functional: SCAN
Structure: single point on PBEsol structure

Cell: 9.4157 7.4364 6.5700 Å, 90.00 90.00 90.00°
Closest atoms and distances in Å follow each position.
Space group Pnma (No. 62)
One atom of each set of equivalent atoms:
Na: 0.1837 0.0359 0.1073 x8  5 O 2.33-2.60
Pr: 0.0392 0.2500 0.6271 x4  8 O 2.39-2.55
Si: 0.0882 0.7500 0.8202 x4  4 O 1.63-1.65
O: 0.0230 0.2500 0.9906 x4  1 Si 1.63
O: 0.0633 0.5743 0.6725 x8  1 Si 1.64
O: 0.2180 0.7500 0.2743 x4  2 Na 2.41, 1 O 2.46, 2 Pr 2.48-2.51
O: 0.2463 0.2500 0.4029 x4  1 Si 1.65

Summary:
- DFT total energy (eV for the cell shown) = -469.13
- total magnetic moment (μB/cell) = 4.063


2.
Compound: NaPrSi6O14
Source: the Alexandria database
Functional: SCAN
Structure: single point on PBEsol structure

Cell: 7.7021 15.4954 19.7571 Å, 90.00 90.00 90.00°
Closest atoms and distances in Å follow each position.
Space group Ibam (No. 72)
One atom of each set of equivalent atoms:
Na: 0.0000 0.0000 0.0000 x4  8 O 2.57-2.64
Na: 0.0000 0.5000 0.2500 x4  4 O 2.36
Pr: 0.0000 0.2698 0.2500 x8  6 O 2.33-2.48
Si: 0.1507 0.1195 0.1479 x16  4 O 1.59-1.66
Si: 0.1790 0.3666 0.0000 x8  4 O 1.62
Si: 0.2324 0.3346 0.5000 x8  4 O 1.62-1.63
Si: 0.2389 0.0785 0.3528 x16  4 O 1.58-1.66
O: 0.0307 0.3639 0.5000 x8  2 Si 1.62
O: 0.0581 0.1308 0.3328 x16  2 Si 1.66
O: 0.0929 0.3837 0.1817 x16  1 Si 1.58
O: 0.1661 0.1242 0.0646 x16  2 Si 1.63-1.65
O: 0.2112 0.0227 0.1689 x16  2 Si 1.62-1.64
O: 0.2396 0.1967 0.1884 x16  1 Si 1.59
O: 0.2423 0.2305 0.5000 x8  2 Si 1.62
O: 0.2437 0.0790 0.4365 x16  2 Si 1.62-1.65

Summary:
- DFT total energy (eV for the cell shown) = -2104.31
- total magnetic moment (μB/cell) = 0.878


3.
Compound: NaPt3O4
Source: the Alexandria database
Functional: SCAN
Structure: single point on PBEsol structure

Cell: 5.6841 5.6841 5.6841 Å, 90.00 90.00 90.00°
Closest atoms and distances in Å follow each position.
Space group Pm-3n (No. 223)
One atom of each set of equivalent atoms:
Na: 0.0000 0.0000 0.0000 x2  8 O 2.46
Pt: 0.0000 0.2500 0.5000 x6  4 O 2.01
O: 0.2500 0.2500 0.2500 x8  3 Pt 2.01

Summary:
- DFT total energy (eV for the cell shown) = -494.68
- total magnetic moment (μB/cell) = 0.000


4.
Compound: Na3Pt12O16
Source: the Alexandria database
Functional: SCAN
Structure: single point on PBEsol structure

Cell: 11.3126 11.3126 11.3126 Å, 90.00 90.00 90.00°
Closest atoms and distances in Å follow each position.
Space group Fm-3 (No. 202)
One atom of each set of equivalent atoms:
Na: 0.0000 0.0000 0.0000 x4  8 O 2.43
Na: 0.2500 0.2500 0.2500 x8  8 O 2.37-2.46
Pt: 0.0000 0.1239 0.2513 x48  4 O 1.99-2.01
O: 0.1242 0.1242 0.1242 x32  3 Pt 2.01
O: 0.1288 0.1288 0.3712 x32  3 Pt 1.99

Summary:
- DFT total energy (eV for the cell shown) = -3929.06
- total magnetic moment (μB/cell) = 0.000